1.
A plane-wave DFT calculation with PBE was carried out for a relaxed structure of Tb2Ti2InRh5. Values from VASP.

Total moment, μB/cell: 0.00
Calculated formation energy, eV per atom: -0.6170
Theoretical density, g/cm³: 9.49
Total DFT energy (no corrections), eV/atom: -7.072

```
&SYSTEM
  ibrav = 0, nat = 20, ntyp = 4
/
ATOMIC_SPECIES
Tb 158.93 Tb.upf
Ti 47.87 Ti.upf
Rh 102.91 Rh.upf
In 114.82 In.upf
ATOMIC_POSITIONS angstrom
Tb 0.000 3.189 8.191
Tb 0.000 8.191 6.816
Ti 0.000 6.182 8.825
Rh 1.824 0.650 7.882
Tb 0.000 1.814 3.189
In 0.000 0.000 0.000
Rh 1.824 0.000 5.002
Rh 1.824 4.352 2.880
Rh 1.824 5.653 7.125
Rh 1.824 2.123 0.650
Rh 1.824 9.354 2.123
Tb 0.000 6.816 1.814
Rh 1.824 2.880 5.653
Rh 1.824 7.882 9.354
Ti 0.000 8.825 3.823
In 0.000 5.002 5.002
Ti 0.000 3.823 1.180
Rh 1.824 5.002 0.000
Ti 0.000 1.180 6.182
Rh 1.824 7.125 4.352
CELL_PARAMETERS angstrom
3.647 0.000 0.000
0.000 10.005 0.000
0.000 0.000 10.005
```

=====

2.
A plane-wave DFT calculation with PBE was carried out for a relaxed structure of Pu2ZrS4. Values from VASP.

Polymorph energy (0 for the lowest one), kJ per mole of atoms: 10.4
Total moment, μB/cell: 22.51
Energy relative to the elements, uncorrected, eV/f.u.: -10.8
Theoretical density, g/cm³: 7.49
Total DFT energy (no corrections), eV/atom: -9.222

```
&SYSTEM
  ibrav = 0, nat = 14, ntyp = 3
/
ATOMIC_SPECIES
S 32.06 S.upf
Pu 244.00 Pu.upf
Zr 91.22 Zr.upf
ATOMIC_POSITIONS angstrom
S -0.462 -1.436 -1.054
S -2.728 -6.169 9.605
S 0.480 -5.195 3.656
Pu 1.043 -1.205 1.185
Zr -3.422 -6.409 7.022
Pu -1.038 -3.166 4.770
Pu 0.243 -6.829 5.987
S 1.933 -3.826 1.152
Zr 2.627 -3.586 3.735
S -1.337 -1.471 2.591
Pu -1.838 -8.790 9.572
S -3.422 -4.225 4.046
S 0.542 -8.524 8.166
S -1.275 -4.800 7.101
CELL_PARAMETERS angstrom
-0.925 -2.872 -2.107
6.048 -1.545 2.665
-5.919 -5.578 10.199
```

=====

3.
A plane-wave DFT calculation with PBE was carried out for a relaxed structure of PmCuSiAu. Values from VASP.

Total moment, μB/cell: 0.00
Energy relative to the elements, uncorrected, eV/f.u.: -1.1
Theoretical density, g/cm³: 9.63
Total DFT energy (no corrections), eV/atom: -4.663

```
&SYSTEM
  ibrav = 0, nat = 4, ntyp = 4
/
ATOMIC_SPECIES
Cu 63.55 Cu.upf
Pm 145.00 Pm.upf
Si 28.09 Si.upf
Au 196.97 Au.upf
ATOMIC_POSITIONS angstrom
Cu -0.974 -1.175 -2.461
Pm 0.000 0.000 0.000
Si -2.921 -3.526 -7.382
Au -1.947 -2.351 -4.921
CELL_PARAMETERS angstrom
-3.338 0.246 -3.340
1.077 -0.990 -4.497
-1.633 -3.958 -2.006
```

=====

4.
A plane-wave DFT calculation with PBE was carried out for a relaxed structure of HoPa2Co9. Values from VASP.

Total moment, μB/cell: 6.59
Calculated formation energy, eV per atom: -0.2519
Theoretical density, g/cm³: 11.42
Total DFT energy (no corrections), eV/atom: -7.545

```
&SYSTEM
  ibrav = 0, nat = 12, ntyp = 3
/
ATOMIC_SPECIES
Co 58.93 Co.upf
Pa 231.04 Pa.upf
Ho 164.93 Ho.upf
ATOMIC_POSITIONS angstrom
Co 3.654 3.511 6.193
Co 6.081 2.109 2.006
Co 3.654 2.109 2.006
Co 6.081 3.511 6.193
Co 2.434 1.405 0.014
Co 4.867 4.212 2.006
Co 4.867 1.409 6.193
Pa 2.434 1.405 4.800
Pa 7.301 4.215 3.399
Co 4.867 2.810 4.099
Ho 0.000 0.000 0.000
Co 7.301 4.215 8.184
CELL_PARAMETERS angstrom
4.867 0.000 0.000
2.434 4.215 0.000
2.434 1.405 8.199
```

=====

5.
A plane-wave DFT calculation with PBE was carried out for a relaxed structure of LiLaBiS3. Values from VASP.

Total moment, μB/cell: 0.00
Energy relative to the elements, uncorrected, eV/f.u.: -7.1
Theoretical density, g/cm³: 4.91
Total DFT energy (no corrections), eV/atom: -5.035

```
&SYSTEM
  ibrav = 0, nat = 12, ntyp = 4
/
ATOMIC_SPECIES
Bi 208.98 Bi.upf
La 138.91 La.upf
Li 6.94 Li.upf
S 32.06 S.upf
ATOMIC_POSITIONS angstrom
Bi 2.877 1.659 7.141
La 2.877 6.382 7.219
Li 2.877 7.748 4.062
S 0.959 4.167 7.750
S 2.877 3.331 1.329
S 2.877 8.325 1.755
La 0.959 1.116 1.860
Li 0.959 -0.250 5.017
S 0.959 6.653 5.021
Bi 0.959 5.839 1.938
S 2.877 0.845 4.058
S 0.959 -0.827 7.325
CELL_PARAMETERS angstrom
3.835 0.000 0.000
0.000 9.317 0.664
0.000 -1.820 8.416
```

=====

6.
A plane-wave DFT calculation with PBE was carried out for a relaxed structure of Sr2YSb. Values from VASP.

Total moment, μB/cell: 0.00
Energy relative to the elements, uncorrected, eV/f.u.: -1.8
Theoretical density, g/cm³: 4.01
Total DFT energy (no corrections), eV/atom: -3.930

```
&SYSTEM
  ibrav = 0, nat = 4, ntyp = 3
/
ATOMIC_SPECIES
Y 88.91 Y.upf
Sr 87.62 Sr.upf
Sb 121.76 Sb.upf
ATOMIC_POSITIONS angstrom
Y 1.349 3.726 4.309
Sr -1.194 1.197 3.403
Sb -1.058 4.499 5.912
Sr 1.670 6.610 6.750
CELL_PARAMETERS angstrom
-3.289 -1.884 2.659
2.917 0.658 4.074
-1.294 6.509 3.012
```

=====

7.
A plane-wave DFT calculation with PBE was carried out for a relaxed structure of Th4Ga16Tc3. Values from VASP.

Total moment, μB/cell: 0.00
Calculated formation energy, eV per atom: -0.4414
Theoretical density, g/cm³: 8.54
Total DFT energy (no corrections), eV/atom: -5.190

```
&SYSTEM
  ibrav = 0, nat = 23, ntyp = 3
/
ATOMIC_SPECIES
Ga 69.72 Ga.upf
Th 232.04 Th.upf
Tc 98.00 Tc.upf
ATOMIC_POSITIONS angstrom
Ga 0.000 0.000 2.565
Ga 1.549 1.549 4.460
Ga 4.718 4.718 4.460
Ga 1.549 4.718 7.113
Ga 3.133 3.133 2.221
Ga 4.718 4.718 7.113
Ga 4.718 1.549 7.113
Th 0.000 3.133 2.258
Ga 0.000 0.000 9.009
Th 0.000 3.133 9.316
Ga 4.462 4.462 0.000
Ga 1.549 1.549 7.113
Th 3.133 0.000 9.316
Ga 1.805 4.462 0.000
Ga 4.718 1.549 4.460
Tc 3.133 0.000 5.787
Tc 0.000 0.000 0.000
Ga 1.549 4.718 4.460
Th 3.133 0.000 2.258
Ga 4.462 1.805 0.000
Ga 3.133 3.133 9.352
Ga 1.805 1.805 0.000
Tc 0.000 3.133 5.787
CELL_PARAMETERS angstrom
6.267 0.000 0.000
0.000 6.267 0.000
0.000 0.000 11.574
```

=====

8.
A plane-wave DFT calculation with PBE was carried out for a relaxed structure of KTlZnIn. Values from VASP.

Total moment, μB/cell: 0.00
Calculated formation energy, eV per atom: 0.0667
Theoretical density, g/cm³: 6.23
Total DFT energy (no corrections), eV/atom: -1.802

```
&SYSTEM
  ibrav = 0, nat = 4, ntyp = 4
/
ATOMIC_SPECIES
K 39.10 K.upf
Zn 65.41 Zn.upf
In 114.82 In.upf
Tl 204.38 Tl.upf
ATOMIC_POSITIONS angstrom
K 8.137 4.698 3.322
Zn 0.000 0.000 0.000
In 2.712 1.566 1.107
Tl 5.424 3.132 2.214
CELL_PARAMETERS angstrom
5.424 0.000 0.000
2.712 4.698 0.000
2.712 1.566 4.429
```

=====

9.
A plane-wave DFT calculation with PBE was carried out for a relaxed structure of LiYRu2. Values from VASP.

Polymorph energy (0 for the lowest one), kJ per mole of atoms: 16.8
Total moment, μB/cell: 0.00
Calculated formation energy, eV per atom: 0.2577
Theoretical density, g/cm³: 7.45
Total DFT energy (no corrections), eV/atom: -6.475

```
&SYSTEM
  ibrav = 0, nat = 4, ntyp = 3
/
ATOMIC_SPECIES
Y 88.91 Y.upf
Ru 101.07 Ru.upf
Li 6.94 Li.upf
ATOMIC_POSITIONS angstrom
Y 0.023 0.101 5.566
Ru 0.035 0.152 8.349
Ru 0.012 0.051 2.783
Li 0.000 0.000 0.000
CELL_PARAMETERS angstrom
2.174 1.560 3.675
-2.356 1.190 3.700
0.229 -2.548 3.758
```

=====

10.
A plane-wave DFT calculation with PBE was carried out for a relaxed structure of Sc2Cd2Sn. Values from VASP.

Total moment, μB/cell: 0.26
Calculated formation energy, eV per atom: -0.0564
Theoretical density, g/cm³: 5.75
Total DFT energy (no corrections), eV/atom: -3.756

```
&SYSTEM
  ibrav = 0, nat = 5, ntyp = 3
/
ATOMIC_SPECIES
Cd 112.41 Cd.upf
Sn 118.71 Sn.upf
Sc 44.96 Sc.upf
ATOMIC_POSITIONS angstrom
Cd -5.872 0.071 0.968
Sn 0.000 0.000 0.000
Sc -7.946 -1.534 2.785
Cd -5.105 -2.526 1.726
Sc -3.030 -0.922 -0.091
CELL_PARAMETERS angstrom
-3.017 1.547 -2.078
-1.483 -3.646 -0.562
-6.477 -0.356 5.334
```

=====

11.
A plane-wave DFT calculation with PBE was carried out for a relaxed structure of CaSmNpN3. Values from VASP.

Total moment, μB/cell: 0.49
Energy relative to the elements, uncorrected, eV/f.u.: -5.2
Theoretical density, g/cm³: 6.77
Total DFT energy (no corrections), eV/atom: -8.307

```
&SYSTEM
  ibrav = 0, nat = 12, ntyp = 4
/
ATOMIC_SPECIES
N 14.01 N.upf
Ca 40.08 Ca.upf
Np 237.00 Np.upf
Sm 150.36 Sm.upf
ATOMIC_POSITIONS angstrom
N 0.904 2.897 7.793
N 0.904 -1.104 6.975
Ca 0.904 4.251 1.818
N 2.712 6.516 2.116
N 0.904 5.070 4.116
Np 0.904 -0.832 4.979
N 2.712 2.514 1.298
Sm 2.712 4.343 7.921
Sm 0.904 1.069 1.170
Np 2.712 6.244 4.111
N 2.712 0.341 4.975
Ca 2.712 1.161 7.273
CELL_PARAMETERS angstrom
3.616 0.000 0.000
0.000 7.503 0.835
0.000 -2.092 8.256
```

=====

12.
A plane-wave DFT calculation with PBE was carried out for a relaxed structure of Hf6SnN. Values from VASP.

Total moment, μB/cell: 0.00
Energy relative to the elements, uncorrected, eV/f.u.: -4.2
Theoretical density, g/cm³: 12.43
Total DFT energy (no corrections), eV/atom: -9.528

```
&SYSTEM
  ibrav = 0, nat = 8, ntyp = 3
/
ATOMIC_SPECIES
Hf 178.49 Hf.upf
Sn 118.71 Sn.upf
N 14.01 N.upf
ATOMIC_POSITIONS angstrom
Hf -1.524 -4.991 -0.096
Hf 1.243 -4.763 1.736
Hf -1.691 -3.892 3.039
Hf -2.255 -2.237 0.664
Hf 0.512 -2.008 2.496
Sn 0.000 0.000 0.000
N -0.506 -3.500 1.200
Hf 0.680 -3.108 -0.639
CELL_PARAMETERS angstrom
-5.270 -1.778 0.342
2.346 -4.038 -3.040
1.912 -1.184 5.098
```